LaPu2Ga: relaxed, GGA-PBE.

a = 5.217 Å, b = 5.217 Å, c = 5.218 Å
α = 60.01°, β = 60.01°, γ = 60.00°
Last column: magnetic moment on the atom in μB.
Atoms (fractional coordinates):
La (0.500, 0.500, 0.500)  0.69
Ga (0.000, 0.000, 0.000)  -0.06
Pu (0.250, 0.250, 0.250)  5.71
Pu (0.750, 0.750, 0.750)  5.71

Calculated values
* energy relative to the elements: -2 meV/atom
* DOS at the Fermi energy: 12.99 states/eV per cell
* calculated total energy: -9.16 eV per atom
* energy relative to the lowest polymorph listed for this composition: 0.134 eV/atom